Entry 1:
# Li2MgCdCl6 | Alexandria via LeMat-Bulk | PBE | optimized geometry
data_Li2MgCdCl6
_chemical_formula_sum 'Li2 Mg1 Cd1 Cl6'
_cell_length_a 6.467
_cell_length_b 6.467
_cell_length_c 6.988
_cell_angle_alpha 62.44
_cell_angle_beta 62.43
_cell_angle_gamma 59.97
_symmetry_space_group_name_H-M 'P 1'
_symmetry_Int_Tables_number 1
loop_
_symmetry_equiv_pos_as_xyz
'x,y,z'
loop_
_atom_site_label
_atom_site_fract_x
_atom_site_fract_y
_atom_site_fract_z
Cl1 0.225 0.904 0.258
Cl2 0.614 0.225 0.258
Cl3 0.423 0.735 0.747
Cl4 0.095 0.424 0.747
Cl5 0.735 0.095 0.747
Cl6 0.904 0.614 0.258
Cd1 0.317 0.316 0.050
Li1 0.511 0.511 0.466
Li2 0.017 0.018 0.948
Mg1 0.821 0.821 0.537
# Energy relative to the elements, uncorrected: -1.5790 eV per atom
# Crystal system: triclinic
# Total magnetic moment: 0.00 μB/cell
# SG: No. 1
# Calculated volume: 21.39 A^3/atom



Entry 2:
# LiMnCdCl5 | Alexandria via LeMat-Bulk | PBE | optimized geometry
data_LiMnCdCl5
_chemical_formula_sum 'Li2 Mn2 Cd2 Cl10'
_cell_length_a 7.311
_cell_length_b 7.311
_cell_length_c 9.752
_cell_angle_alpha 102.09
_cell_angle_beta 102.09
_cell_angle_gamma 116.67
_symmetry_space_group_name_H-M 'P 1'
_symmetry_Int_Tables_number 1
loop_
_symmetry_equiv_pos_as_xyz
'x,y,z'
loop_
_atom_site_label
_atom_site_fract_x
_atom_site_fract_y
_atom_site_fract_z
Cl1 0.916 0.084 0.750
Cl2 0.582 0.768 0.952
Cl3 0.418 0.232 0.048
Cl4 0.642 0.008 0.351
Cl5 0.768 0.582 0.452
Cl6 0.358 0.992 0.649
Cl7 0.008 0.642 0.851
Cl8 0.084 0.916 0.250
Cl9 0.232 0.418 0.548
Cl10 0.992 0.358 0.149
Mn1 0.704 0.296 0.250
Mn2 0.296 0.704 0.750
Cd1 0.000 0.000 0.500
Cd2 0.000 0.000 0.000
Li1 0.728 0.272 0.750
Li2 0.272 0.728 0.250
# Energy relative to the elements, uncorrected: -1.2166 eV per atom
# Crystal system: monoclinic
# Total magnetic moment: 10.00 μB/cell
# SG: No. 15
# Calculated volume: 26.69 A^3/atom